Entry 1:
Below is a relaxed PmNdAlGa crystal, with properties calculated at the PBE-GGA level.

Its energy above the most stable polymorph in this dataset is 0.0238 eV per atom. The energy of formation from the pure elements comes out at -0.454 eV per atom.

It has space group F-43m (No. 216), with a = 7.3993 Å, b = 7.3993 Å, c = 7.3993 Å, α = 90.00°, β = 90.00° and γ = 90.00°. Symmetry generates all atoms from Pm at (0.0000, 0.0000, 0.0000), Nd at (0.0000, 0.0000, 0.5000), Al at (0.2500, 0.2500, 0.7500) and Ga at (0.2500, 0.2500, 0.2500).

Entry 2:
Below is a relaxed Pm3Nd3Al2Ga crystal, with properties calculated at the PBE-GGA level.

The energy of formation from the pure elements comes out at -0.265 eV per atom.

It has space group P-62m (No. 189), with a = 8.9123 Å, b = 8.9123 Å, c = 3.7579 Å, α = 90.00°, β = 90.00° and γ = 120.00°. Symmetry generates all atoms from Pm at (0.0000, 0.3909, 0.0000), Nd at (0.0000, 0.7226, 0.5000), Al at (0.3333, 0.6667, 0.5000) and Ga at (0.0000, 0.0000, 0.0000).

Entry 3:
Below is a relaxed PrNdAlGa crystal, with properties calculated at the PBE-GGA level.

Its energy above the most stable polymorph in this dataset is 0.0293 eV per atom. The energy of formation from the pure elements comes out at -0.440 eV per atom.

It has space group F-43m (No. 216), with a = 7.4581 Å, b = 7.4581 Å, c = 7.4581 Å, α = 90.00°, β = 90.00° and γ = 90.00°. Symmetry generates all atoms from Pr at (0.0000, 0.0000, 0.0000), Nd at (0.0000, 0.0000, 0.5000), Al at (0.2500, 0.2500, 0.2500) and Ga at (0.2500, 0.2500, 0.7500).

Entry 4:
Below is a relaxed PrNd2Al2Ga2 crystal, with properties calculated at the PBE-GGA level.

The energy of formation from the pure elements comes out at -0.429 eV per atom.

It has space group R-3m (No. 166, hexagonal axes), with a = 4.3135 Å, b = 4.3135 Å, c = 34.3292 Å, α = 90.00°, β = 90.00° and γ = 120.00°. Symmetry generates all atoms from Pr at (0.0000, 0.0000, 0.0000), Nd at (0.0000, 0.0000, 0.1243), Al at (0.0000, 0.0000, 0.3943) and Ga at (0.0000, 0.0000, 0.2653).

Entry 5:
Below is a relaxed PrNdAlGa crystal, with properties calculated at the PBE-GGA level.

Its energy above the most stable polymorph in this dataset is 0.0000 eV per atom. The energy of formation from the pure elements comes out at -0.469 eV per atom.

It has space group Amm2 (No. 38), with a = 4.2263 Å, b = 4.5127 Å, c = 11.4748 Å, α = 90.00°, β = 90.00° and γ = 90.00°. Symmetry generates all atoms from Pr at (0.0000, 0.0000, 0.0000), Nd at (0.5000, 0.0000, 0.2849), Al at (0.0000, 0.0000, 0.7082) and Ga at (0.5000, 0.0000, 0.5720).

Entry 6:
Below is a relaxed Pr2NdAl2Ga2 crystal, with properties calculated at the PBE-GGA level.

The energy of formation from the pure elements comes out at -0.434 eV per atom.

It has space group R-3m (No. 166, hexagonal axes), with a = 4.3085 Å, b = 4.3085 Å, c = 34.6450 Å, α = 90.00°, β = 90.00° and γ = 120.00°. Symmetry generates all atoms from Pr at (0.0000, 0.0000, 0.1233), Nd at (0.0000, 0.0000, 0.0000), Al at (0.0000, 0.0000, 0.3937) and Ga at (0.0000, 0.0000, 0.2683).

Entry 7:
Below is a relaxed Pr2Nd2AlGa4 crystal, with properties calculated at the PBE-GGA level.

The energy of formation from the pure elements comes out at -0.280 eV per atom.

It has space group I4/mmm (No. 139), with a = 7.1800 Å, b = 7.1800 Å, c = 9.0528 Å, α = 90.00°, β = 90.00° and γ = 90.00°. Symmetry generates all atoms from Pr at (0.0000, 0.0000, 0.1863), Nd at (0.0000, 0.5000, 0.2500), Al at (0.0000, 0.0000, 0.5000) and Ga at (0.2436, 0.2436, 0.5000).

Entry 8:
Below is a relaxed PrNdAl2Ga2 crystal, with properties calculated at the PBE-GGA level.

The energy of formation from the pure elements comes out at -0.596 eV per atom.

It has space group P-3m1 (No. 164), with a = 4.3455 Å, b = 4.3455 Å, c = 8.6039 Å, α = 90.00°, β = 90.00° and γ = 120.00°. Symmetry generates all atoms from Pr at (0.0000, 0.0000, 0.0000), Nd at (0.0000, 0.0000, 0.5000), Al at (0.3333, 0.6667, 0.7480) and Ga at (0.3333, 0.6667, 0.2521).

Entry 9:
Below is a relaxed Nd2Al3GaPt4 crystal, with properties calculated at the PBE-GGA level.

The energy of formation from the pure elements comes out at -1.083 eV per atom.

It has space group P-4m2 (No. 115), with a = 4.3483 Å, b = 4.3483 Å, c = 10.2124 Å, α = 90.00°, β = 90.00° and γ = 90.00°. Symmetry generates all atoms from Nd at (0.0000, 0.5000, 0.2484), Al at (0.0000, 0.0000, 0.0000), Al at (0.0000, 0.5000, 0.6254), Ga at (0.5000, 0.5000, 0.0000), Pt at (0.0000, 0.0000, 0.5000), Pt at (0.0000, 0.5000, 0.8673) and Pt at (0.5000, 0.5000, 0.5000).

Entry 10:
Below is a relaxed NdAl2GaPt4 crystal, with properties calculated at the PBE-GGA level.

The energy of formation from the pure elements comes out at -0.968 eV per atom.

It has space group R-3m (No. 166, hexagonal axes), with a = 4.3084 Å, b = 4.3084 Å, c = 26.5443 Å, α = 90.00°, β = 90.00° and γ = 120.00°. Symmetry generates all atoms from Nd at (0.0000, 0.0000, 0.0000), Al at (0.0000, 0.0000, 0.2418), Ga at (0.0000, 0.0000, 0.5000), Pt at (0.0000, 0.0000, 0.1349) and Pt at (0.0000, 0.0000, 0.4043).

Entry 11:
Below is a relaxed Nd2Al2GaPt5 crystal, with properties calculated at the PBE-GGA level.

The energy of formation from the pure elements comes out at -0.896 eV per atom.

It has space group P4/mbm (No. 127), with a = 11.0504 Å, b = 11.0504 Å, c = 2.9677 Å, α = 90.00°, β = 90.00° and γ = 90.00°. Symmetry generates all atoms from Nd at (0.1744, 0.3256, 0.0000), Al at (0.1322, 0.6322, 0.0000), Ga at (0.0000, 0.0000, 0.0000), Pt at (0.0000, 0.5000, 0.5000) and Pt at (0.0613, 0.8094, 0.5000).

Entry 12:
Below is a relaxed Nd2AlGa3Pt4 crystal, with properties calculated at the PBE-GGA level.

The energy of formation from the pure elements comes out at -1.006 eV per atom.

It has space group P-4m2 (No. 115), with a = 4.2005 Å, b = 4.2005 Å, c = 10.9109 Å, α = 90.00°, β = 90.00° and γ = 90.00°. Symmetry generates all atoms from Nd at (0.0000, 0.5000, 0.2487), Al at (0.5000, 0.5000, 0.0000), Ga at (0.0000, 0.0000, 0.0000), Ga at (0.0000, 0.5000, 0.6343), Pt at (0.0000, 0.0000, 0.5000), Pt at (0.0000, 0.5000, 0.8660) and Pt at (0.5000, 0.5000, 0.5000).

Entry 13:
Below is a relaxed Nd2AlGaPt2 crystal, with properties calculated at the PBE-GGA level.

The energy of formation from the pure elements comes out at -0.994 eV per atom.

It has space group Ibam (No. 72), with a = 6.1290 Å, b = 13.7817 Å, c = 6.1472 Å, α = 90.00°, β = 90.00° and γ = 90.00°. Symmetry generates all atoms from Nd at (0.2445, 0.1717, 0.0000), Al at (0.0000, 0.5000, 0.2500), Ga at (0.0000, 0.0000, 0.2500) and Pt at (0.2419, 0.3922, 0.0000).

Entry 14:
Below is a relaxed NdAlGa2Pt4 crystal, with properties calculated at the PBE-GGA level.

The energy of formation from the pure elements comes out at -0.921 eV per atom.

It has space group R-3m (No. 166, hexagonal axes), with a = 4.3312 Å, b = 4.3312 Å, c = 26.2497 Å, α = 90.00°, β = 90.00° and γ = 120.00°. Symmetry generates all atoms from Nd at (0.0000, 0.0000, 0.0000), Al at (0.0000, 0.0000, 0.5000), Ga at (0.0000, 0.0000, 0.2460), Pt at (0.0000, 0.0000, 0.1367) and Pt at (0.0000, 0.0000, 0.4048).

Entry 15:
Below is a relaxed NdAlGaPt crystal, with properties calculated at the PBE-GGA level.

The energy of formation from the pure elements comes out at -0.859 eV per atom.

It has space group R3m (No. 160, hexagonal axes), with a = 4.2599 Å, b = 4.2599 Å, c = 15.9204 Å, α = 90.00°, β = 90.00° and γ = 120.00°. Symmetry generates all atoms from Nd at (0.0000, 0.0000, 0.0000), Al at (0.0000, 0.0000, 0.2085), Ga at (0.0000, 0.0000, 0.7840) and Pt at (0.0000, 0.0000, 0.5067).

Entry 16:
Below is a relaxed NdPuAlGa crystal, with properties calculated at the PBE-GGA level.

The energy of formation from the pure elements comes out at -0.268 eV per atom.

It has space group F-43m (No. 216), with a = 7.3089 Å, b = 7.3089 Å, c = 7.3089 Å, α = 90.00°, β = 90.00° and γ = 90.00°. Symmetry generates all atoms from Nd at (0.0000, 0.0000, 0.0000), Pu at (0.0000, 0.0000, 0.5000), Al at (0.2500, 0.2500, 0.7500) and Ga at (0.2500, 0.2500, 0.2500).

Entry 17:
Below is a relaxed Nd2Al4GaRh3 crystal, with properties calculated at the PBE-GGA level.

The energy of formation from the pure elements comes out at -0.763 eV per atom.

It has space group P-4m2 (No. 115), with a = 4.2278 Å, b = 4.2278 Å, c = 10.6040 Å, α = 90.00°, β = 90.00° and γ = 90.00°. Symmetry generates all atoms from Nd at (0.0000, 0.5000, 0.2488), Al at (0.0000, 0.0000, 0.5000), Al at (0.0000, 0.5000, 0.8643), Al at (0.5000, 0.5000, 0.5000), Ga at (0.5000, 0.5000, 0.0000), Rh at (0.0000, 0.0000, 0.0000) and Rh at (0.0000, 0.5000, 0.6271).

Entry 18:
Below is a relaxed NdAlGaRh crystal, with properties calculated at the PBE-GGA level.

The energy of formation from the pure elements comes out at -0.709 eV per atom.

It has space group R3m (No. 160, hexagonal axes), with a = 4.2364 Å, b = 4.2364 Å, c = 15.8792 Å, α = 90.00°, β = 90.00° and γ = 120.00°. Symmetry generates all atoms from Nd at (0.0000, 0.0000, 0.0000), Al at (0.0000, 0.0000, 0.7932), Ga at (0.0000, 0.0000, 0.2120) and Rh at (0.0000, 0.0000, 0.4972).

Entry 19:
Below is a relaxed Nd2AlGa2Rh5 crystal, with properties calculated at the PBE-GGA level.

The energy of formation from the pure elements comes out at -0.747 eV per atom.

It has space group P4/mbm (No. 127), with a = 9.9906 Å, b = 9.9906 Å, c = 3.4978 Å, α = 90.00°, β = 90.00° and γ = 90.00°. Symmetry generates all atoms from Nd at (0.1741, 0.3259, 0.0000), Al at (0.0000, 0.0000, 0.0000), Ga at (0.1251, 0.6251, 0.0000), Rh at (0.0000, 0.5000, 0.5000) and Rh at (0.0639, 0.7986, 0.5000).

Entry 20:
Below is a relaxed NdAl2GaRu2 crystal, with properties calculated at the PBE-GGA level.

The energy of formation from the pure elements comes out at -0.265 eV per atom.

It has space group P4/mmm (No. 123), with a = 4.5627 Å, b = 4.5627 Å, c = 5.7072 Å, α = 90.00°, β = 90.00° and γ = 90.00°. Symmetry generates all atoms from Nd at (0.0000, 0.0000, 0.0000), Al at (0.5000, 0.5000, 0.2523), Ga at (0.0000, 0.0000, 0.5000) and Ru at (0.0000, 0.5000, 0.5000).

Entry 21:
Below is a relaxed NdAlGaRu crystal, with properties calculated at the PBE-GGA level.

The energy of formation from the pure elements comes out at -0.484 eV per atom.

It has space group R3m (No. 160, hexagonal axes), with a = 4.2601 Å, b = 4.2601 Å, c = 15.7375 Å, α = 90.00°, β = 90.00° and γ = 120.00°. Symmetry generates all atoms from Nd at (0.0000, 0.0000, 0.0000), Al at (0.0000, 0.0000, 0.2066), Ga at (0.0000, 0.0000, 0.7904) and Ru at (0.0000, 0.0000, 0.5067).

Entry 22:
Below is a relaxed NdAlGa2S6 crystal, with properties calculated at the PBE-GGA level.

The calculation puts the formation energy without anion corrections at -1.037 eV/atom.

It has space group C2/c (No. 15), with a = 13.0213 Å, b = 10.9512 Å, c = 7.2313 Å, α = 90.00°, β = 114.47° and γ = 90.00°. Symmetry generates all atoms from Nd at (0.0000, 0.1671, 0.2500), Al at (0.0000, 0.1849, 0.7500), Ga at (0.1897, 0.4411, 0.1861), S at (0.1111, 0.0593, 0.6551), S at (0.1295, 0.2520, 0.0463) and S at (0.1422, 0.4042, 0.4556).

Entry 23:
Below is a relaxed NdSmAlGa crystal, with properties calculated at the PBE-GGA level.

Its energy above the most stable polymorph in this dataset is 0.0000 eV per atom. The energy of formation from the pure elements comes out at -0.479 eV per atom.

It has space group Amm2 (No. 38), with a = 4.1901 Å, b = 4.4894 Å, c = 11.3481 Å, α = 90.00°, β = 90.00° and γ = 90.00°. Symmetry generates all atoms from Nd at (0.0000, 0.0000, 0.0000), Sm at (0.5000, 0.0000, 0.2834), Al at (0.0000, 0.0000, 0.7096) and Ga at (0.5000, 0.0000, 0.5699).

Entry 24:
Below is a relaxed Nd2SmAl2Ga2 crystal, with properties calculated at the PBE-GGA level.

The energy of formation from the pure elements comes out at -0.428 eV per atom.

It has space group R-3m (No. 166, hexagonal axes), with a = 4.2923 Å, b = 4.2923 Å, c = 34.0870 Å, α = 90.00°, β = 90.00° and γ = 120.00°. Symmetry generates all atoms from Nd at (0.0000, 0.0000, 0.1234), Sm at (0.0000, 0.0000, 0.0000), Al at (0.0000, 0.0000, 0.3929) and Ga at (0.0000, 0.0000, 0.2678).

Number 1: total magnetization 0.000 μB per formula unit, volume 405.12 Å³ per cell. Number 2: total magnetization 0.000 μB per formula unit, volume 258.50 Å³ per cell. Number 3: total magnetization 0.000 μB per formula unit, volume 414.84 Å³ per cell. Number 4: total magnetization 0.511 μB per formula unit, volume 553.17 Å³ per cell. Number 5: total magnetization 0.001 μB per formula unit, volume 218.85 Å³ per cell. Number 6: total magnetization 0.639 μB per formula unit, volume 556.96 Å³ per cell. Number 7: total magnetization 0.000 μB per formula unit, volume 466.69 Å³ per cell. Number 8: total magnetization 0.000 μB per formula unit, volume 140.71 Å³ per cell. Number 9: total magnetization 0.000 μB per formula unit, volume 193.10 Å³ per cell. Number 10: total magnetization 0.000 μB per formula unit, volume 426.72 Å³ per cell. Number 11: total magnetization 0.000 μB per formula unit, volume 362.39 Å³ per cell. Number 12: total magnetization 0.000 μB per formula unit, volume 192.52 Å³ per cell. Number 13: total magnetization 0.000 μB per formula unit, volume 519.24 Å³ per cell. Number 14: total magnetization 0.000 μB per formula unit, volume 426.46 Å³ per cell. Number 15: total magnetization 0.000 μB per formula unit, volume 250.19 Å³ per cell. Number 16: total magnetization 5.553 μB per formula unit, volume 390.44 Å³ per cell. Number 17: total magnetization 0.000 μB per formula unit, volume 189.54 Å³ per cell. Number 18: total magnetization 0.000 μB per formula unit, volume 246.81 Å³ per cell. Number 19: total magnetization 0.000 μB per formula unit, volume 349.12 Å³ per cell. Number 20: total magnetization 0.000 μB per formula unit, volume 118.81 Å³ per cell. Number 21: total magnetization 0.000 μB per formula unit, volume 247.34 Å³ per cell. Number 22: total magnetization 0.000 μB per formula unit, volume 938.56 Å³ per cell. Number 23: total magnetization 0.002 μB per formula unit, volume 213.47 Å³ per cell. Number 24: total magnetization 0.494 μB per formula unit, volume 543.87 Å³ per cell.